An optimized crystal structure of LiCrRe, computed with GGA-PBE.

The structure in POSCAR format:
```
LiCrRe
1.0
-1.528 1.528 4.235
1.528 -1.528 4.235
1.528 1.528 -4.235
Li Cr Re
1 1 1
direct
0.000 0.000 0.000
0.677 0.677 0.000
0.318 0.318 0.000
```

Polymorph energy (0 for the lowest one) = 173 meV per atom
Symmetry = No. 107
DFT formation energy = 0.391 eV/atom